Density functional theory data (PBE-GGA) for Pu2Hg6Bi after structural relaxation.

The density of states at the Fermi level is 51.1 states/eV per cell. As for the formation energy: -2.79 kcal/mol of atoms. The total energy is -70.890 eV for the cell shown.

It has space group C2/m (No. 12), with a = 14.491 Å, b = 4.495 Å, c = 7.608 Å, α = 90.00°, β = 108.35° and γ = 90.00°. Symmetry generates all atoms from Pu at (0.062, 0.000, 0.325), Hg at (0.110, 0.500, 0.661), Hg at (0.168, 0.000, 0.992), Hg at (0.230, 0.500, 0.326) and Bi at (0.000, 0.500, 0.000).



Density functional theory data (PBE-GGA) for PuHg6Bi2 after structural relaxation.

The density of states at the Fermi level is 25.5 states/eV per cell. As for the formation energy: -0.56 kcal/mol of atoms. The total energy is -48.244 eV for the cell shown.

It has space group C2/m (No. 12), with a = 10.804 Å, b = 3.478 Å, c = 14.145 Å, α = 90.00°, β = 110.24° and γ = 90.00°. Symmetry generates all atoms from Pu at (0.000, 0.000, 0.000), Hg at (0.117, 0.000, 0.454), Hg at (0.161, 0.500, 0.665), Hg at (0.227, 0.000, 0.893) and Bi at (0.051, 0.500, 0.217).



Density functional theory data (PBE-GGA) for PuHg6Bi after structural relaxation.

The density of states at the Fermi level is 32.8 states/eV per cell. As for the formation energy: -0.86 kcal/mol of atoms. The total energy is -40.643 eV for the cell shown.

It has space group Cmmm (No. 65), with a = 6.621 Å, b = 11.875 Å, c = 5.556 Å, α = 90.00°, β = 90.00° and γ = 90.00°. Symmetry generates all atoms from Pu at (0.000, 0.000, 0.000), Hg at (0.000, 0.221, 0.500), Hg at (0.236, 0.500, 0.500), Hg at (0.250, 0.250, 0.000) and Bi at (0.000, 0.500, 0.000).



Density functional theory data (PBE-GGA) for Pu3Hg2Bi after structural relaxation.

The density of states at the Fermi level is 27.6 states/eV per cell. As for the formation energy: -3.13 kcal/mol of atoms. The total energy is -48.294 eV for the cell shown.

It has space group P-3m1 (No. 164), with a = 5.4319 Å, b = 5.4319 Å, c = 6.5692 Å, α = 90.00°, β = 90.00° and γ = 120.00°. Symmetry generates all atoms from Pu at (0.0000, 0.0000, 0.0000), Pu at (0.3333, 0.6667, 0.6388), Hg at (0.3333, 0.6667, 0.1330) and Bi at (0.0000, 0.0000, 0.5000).



Density functional theory data (PBE-GGA) for Pu2HgBi2 after structural relaxation.

The density of states at the Fermi level is 46.6 states/eV per cell. As for the formation energy: -4.85 kcal/mol of atoms. The total energy is -75.557 eV for the cell shown.

It has space group Immm (No. 71), with a = 4.803 Å, b = 7.777 Å, c = 8.164 Å, α = 90.00°, β = 90.00° and γ = 90.00°. Symmetry generates all atoms from Pu at (0.000, 0.214, 0.000), Hg at (0.000, 0.000, 0.500) and Bi at (0.000, 0.500, 0.300).



Density functional theory data (PBE-GGA) for RbPuHg2Bi2 after structural relaxation.

The density of states at the Fermi level is 17.6 states/eV per cell. As for the formation energy: -5.51 kcal/mol of atoms. The total energy is -25.098 eV for the cell shown.

It has space group P-3m1 (No. 164), with a = 5.1260 Å, b = 5.1260 Å, c = 9.2797 Å, α = 90.00°, β = 90.00° and γ = 120.00°. Symmetry generates all atoms from Rb at (0.0000, 0.0000, 0.0000), Pu at (0.0000, 0.0000, 0.5000), Hg at (0.3333, 0.6667, 0.6449) and Bi at (0.3333, 0.6667, 0.2734).



Density functional theory data (PBE-GGA) for PuScHgBi after structural relaxation.

The density of states at the Fermi level is 48.1 states/eV per cell. As for the formation energy: -6.96 kcal/mol of atoms. The total energy is -104.214 eV for the cell shown.

It has space group F-43m (No. 216), with a = 7.461 Å, b = 7.461 Å, c = 7.461 Å, α = 90.00°, β = 90.00° and γ = 90.00°. Symmetry generates all atoms from Pu at (0.000, 0.000, 0.000), Sc at (0.000, 0.000, 0.500), Hg at (0.250, 0.250, 0.750) and Bi at (0.250, 0.250, 0.250).



Density functional theory data (PBE-GGA) for SmPuHgBi after structural relaxation.

The density of states at the Fermi level is 48.3 states/eV per cell. As for the formation energy: -8.89 kcal/mol of atoms. The total energy is -99.103 eV for the cell shown.

It has space group F-43m (No. 216), with a = 7.703 Å, b = 7.703 Å, c = 7.703 Å, α = 90.00°, β = 90.00° and γ = 90.00°. Symmetry generates all atoms from Sm at (0.000, 0.000, 0.000), Pu at (0.000, 0.000, 0.500), Hg at (0.250, 0.250, 0.750) and Bi at (0.250, 0.250, 0.250).



Density functional theory data (PBE-GGA) for PuSnHgBi after structural relaxation.

The density of states at the Fermi level is 61.4 states/eV per cell. As for the formation energy: -2.02 kcal/mol of atoms. The total energy is -91.470 eV for the cell shown.

It has space group F-43m (No. 216), with a = 7.661 Å, b = 7.661 Å, c = 7.661 Å, α = 90.00°, β = 90.00° and γ = 90.00°. Symmetry generates all atoms from Pu at (0.000, 0.000, 0.000), Sn at (0.250, 0.250, 0.250), Hg at (0.250, 0.250, 0.750) and Bi at (0.000, 0.000, 0.500).



Density functional theory data (PBE-GGA) for PuSnHgBi after structural relaxation.

The density of states at the Fermi level is 11.1 states/eV per cell. As for the formation energy: -6.05 kcal/mol of atoms. The total energy is -23.567 eV for the cell shown.

It has space group Pmmm (No. 47), with a = 4.498 Å, b = 4.769 Å, c = 4.931 Å, α = 90.00°, β = 90.00° and γ = 90.00°. Symmetry generates all atoms from Pu at (0.000, 0.000, 0.000), Sn at (0.500, 0.000, 0.500), Hg at (0.000, 0.500, 0.500) and Bi at (0.500, 0.500, 0.000).



Density functional theory data (PBE-GGA) for SrPuHgBi after structural relaxation.

The density of states at the Fermi level is 57.9 states/eV per cell. As for the formation energy: -9.24 kcal/mol of atoms. The total energy is -87.199 eV for the cell shown.

It has space group F-43m (No. 216), with a = 7.949 Å, b = 7.949 Å, c = 7.949 Å, α = 90.00°, β = 90.00° and γ = 90.00°. Symmetry generates all atoms from Sr at (0.000, 0.000, 0.000), Pu at (0.000, 0.000, 0.500), Hg at (0.250, 0.250, 0.250) and Bi at (0.250, 0.250, 0.750).



Density functional theory data (PBE-GGA) for PuThHgBi after structural relaxation.

The density of states at the Fermi level is 50.5 states/eV per cell. As for the formation energy: -5.20 kcal/mol of atoms. The total energy is -107.347 eV for the cell shown.

It has space group F-43m (No. 216), with a = 7.731 Å, b = 7.731 Å, c = 7.731 Å, α = 90.00°, β = 90.00° and γ = 90.00°. Symmetry generates all atoms from Pu at (0.000, 0.000, 0.000), Th at (0.000, 0.000, 0.500), Hg at (0.250, 0.250, 0.750) and Bi at (0.250, 0.250, 0.250).



Density functional theory data (PBE-GGA) for PuTiHgBi after structural relaxation.

The density of states at the Fermi level is 47.0 states/eV per cell. As for the formation energy: -0.87 kcal/mol of atoms. The total energy is -106.241 eV for the cell shown.

It has space group F-43m (No. 216), with a = 7.333 Å, b = 7.333 Å, c = 7.333 Å, α = 90.00°, β = 90.00° and γ = 90.00°. Symmetry generates all atoms from Pu at (0.000, 0.000, 0.000), Ti at (0.000, 0.000, 0.500), Hg at (0.250, 0.250, 0.250) and Bi at (0.250, 0.250, 0.750).



Density functional theory data (PBE-GGA) for TmPuHgBi after structural relaxation.

The density of states at the Fermi level is 46.9 states/eV per cell. As for the formation energy: -7.57 kcal/mol of atoms. The total energy is -97.200 eV for the cell shown.

It has space group F-43m (No. 216), with a = 7.587 Å, b = 7.587 Å, c = 7.587 Å, α = 90.00°, β = 90.00° and γ = 90.00°. Symmetry generates all atoms from Tm at (0.000, 0.000, 0.000), Pu at (0.000, 0.000, 0.500), Hg at (0.250, 0.250, 0.250) and Bi at (0.250, 0.250, 0.750).



Density functional theory data (PBE-GGA) for PuZnHgBi after structural relaxation.

The density of states at the Fermi level is 48.5 states/eV per cell. As for the formation energy: -1.38 kcal/mol of atoms. The total energy is -80.111 eV for the cell shown.

It has space group F-43m (No. 216), with a = 7.434 Å, b = 7.434 Å, c = 7.434 Å, α = 90.00°, β = 90.00° and γ = 90.00°. Symmetry generates all atoms from Pu at (0.000, 0.000, 0.000), Zn at (0.000, 0.000, 0.500), Hg at (0.250, 0.250, 0.750) and Bi at (0.250, 0.250, 0.250).



Density functional theory data (PBE-GGA) for Rb2HgBi after structural relaxation.

The density of states at the Fermi level is 10.6 states/eV per cell. As for the formation energy: 2.18 kcal/mol of atoms. The total energy is -17.218 eV for the cell shown.

It has space group R-3m (No. 166, hexagonal axes), with a = 3.9583 Å, b = 3.9583 Å, c = 38.8212 Å, α = 90.00°, β = 90.00° and γ = 120.00°. Symmetry generates all atoms from Rb at (0.0000, 0.0000, 0.0911), Hg at (0.0000, 0.0000, 0.5000) and Bi at (0.0000, 0.0000, 0.0000).



Density functional theory data (PBE-GGA) for RbHgBi3 after structural relaxation.

The density of states at the Fermi level is 5.5 states/eV per cell. As for the formation energy: 26.64 kcal/mol of atoms. The total energy is -7.135 eV for the cell shown.

It has space group Pm-3m (No. 221), with a = 6.283 Å, b = 6.283 Å, c = 6.283 Å, α = 90.00°, β = 90.00° and γ = 90.00°. Symmetry generates all atoms from Rb at (0.000, 0.000, 0.000), Hg at (0.500, 0.500, 0.500) and Bi at (0.000, 0.000, 0.500).



Density functional theory data (PBE-GGA) for Rb2HgBi after structural relaxation.

The density of states at the Fermi level is 6.0 states/eV per cell. As for the formation energy: -5.37 kcal/mol of atoms. The total energy is -14.099 eV for the cell shown.

It has space group Imm2 (No. 44), with a = 5.205 Å, b = 11.061 Å, c = 7.017 Å, α = 90.00°, β = 90.00° and γ = 90.00°. Symmetry generates all atoms from Rb at (0.000, 0.188, 0.000), Hg at (0.000, 0.000, 0.490) and Bi at (0.000, 0.500, 0.210).



Density functional theory data (PBE-GGA) for Rb3Hg5Bi2 after structural relaxation.

The density of states at the Fermi level is 12.2 states/eV per cell. As for the formation energy: -4.74 kcal/mol of atoms. The total energy is -56.908 eV for the cell shown.

It has space group Ibam (No. 72), with a = 12.378 Å, b = 16.393 Å, c = 7.672 Å, α = 90.00°, β = 90.00° and γ = 90.00°. Symmetry generates all atoms from Rb at (0.000, 0.000, 0.250), Rb at (0.216, 0.373, 0.000), Hg at (0.000, 0.225, 0.250), Hg at (0.000, 0.500, 0.250), Hg at (0.092, 0.358, 0.500) and Bi at (0.162, 0.151, 0.000).



Density functional theory data (PBE-GGA) for Rb8HgBi2 after structural relaxation.

The density of states at the Fermi level is 14.6 states/eV per cell. As for the formation energy: -5.59 kcal/mol of atoms. The total energy is -36.937 eV for the cell shown.

It has space group C2/m (No. 12), with a = 23.064 Å, b = 6.203 Å, c = 9.210 Å, α = 90.00°, β = 110.33° and γ = 90.00°. Symmetry generates all atoms from Rb at (0.029, 0.000, 0.273), Rb at (0.104, 0.500, 0.955), Rb at (0.175, 0.500, 0.452), Rb at (0.210, 0.000, 0.812), Hg at (0.000, 0.500, 0.500) and Bi at (0.176, 0.000, 0.186).



Density functional theory data (PBE-GGA) for Rb2HgBi2 after structural relaxation.

The density of states at the Fermi level is 15.7 states/eV per cell. As for the formation energy: -2.39 kcal/mol of atoms. The total energy is -21.035 eV for the cell shown.

It has space group I4/mmm (No. 139), with a = 7.283 Å, b = 7.283 Å, c = 9.743 Å, α = 90.00°, β = 90.00° and γ = 90.00°. Symmetry generates all atoms from Rb at (0.000, 0.500, 0.250), Hg at (0.000, 0.000, 0.000) and Bi at (0.000, 0.000, 0.352).



Density functional theory data (PBE-GGA) for RbHgBi4 after structural relaxation.

The density of states at the Fermi level is 15.3 states/eV per cell. As for the formation energy: -1.71 kcal/mol of atoms. The total energy is -68.956 eV for the cell shown.

It has space group F-43m (No. 216), with a = 9.593 Å, b = 9.593 Å, c = 9.593 Å, α = 90.00°, β = 90.00° and γ = 90.00°. Symmetry generates all atoms from Rb at (0.000, 0.000, 0.000), Hg at (0.250, 0.250, 0.250) and Bi at (0.119, 0.119, 0.619).



Density functional theory data (PBE-GGA) for RbHgBi3 after structural relaxation.

The density of states at the Fermi level is 10.6 states/eV per cell. As for the formation energy: -3.52 kcal/mol of atoms. The total energy is -54.699 eV for the cell shown.

It has space group Cmcm (No. 63), with a = 8.233 Å, b = 12.730 Å, c = 7.225 Å, α = 90.00°, β = 90.00° and γ = 90.00°. Symmetry generates all atoms from Rb at (0.000, 0.236, 0.250), Hg at (0.000, 0.336, 0.750), Bi at (0.000, 0.100, 0.750) and Bi at (0.205, 0.500, 0.000).



Density functional theory data (PBE-GGA) for Rb3Hg4Bi2 after structural relaxation.

The density of states at the Fermi level is 2.9 states/eV per cell. As for the formation energy: -5.91 kcal/mol of atoms. The total energy is -14.179 eV for the cell shown.

It has space group P-1 (No. 2), with a = 5.387 Å, b = 6.872 Å, c = 10.568 Å, α = 100.09°, β = 90.30° and γ = 113.02°. Symmetry generates all atoms from Rb at (0.000, 0.000, 0.000), Rb at (0.379, 0.756, 0.619), Hg at (0.089, 0.178, 0.635), Hg at (0.284, 0.566, 0.922) and Bi at (0.316, 0.634, 0.234).



Density functional theory data (PBE-GGA) for Rb5Hg5Bi2 after structural relaxation.

The density of states at the Fermi level is 8.6 states/eV per cell. As for the formation energy: -6.08 kcal/mol of atoms. The total energy is -34.545 eV for the cell shown.

It has space group C2/m (No. 12), with a = 18.626 Å, b = 5.099 Å, c = 14.129 Å, α = 90.00°, β = 127.15° and γ = 90.00°. Symmetry generates all atoms from Rb at (0.000, 0.000, 0.000), Rb at (0.127, 0.500, 0.831), Rb at (0.197, 0.500, 0.582), Hg at (0.000, 0.000, 0.500), Hg at (0.061, 0.000, 0.336), Hg at (0.214, 0.500, 0.156) and Bi at (0.106, 0.500, 0.259).



Density functional theory data (PBE-GGA) for RbHg8Bi2 after structural relaxation.

The density of states at the Fermi level is 5.4 states/eV per cell. As for the formation energy: -0.71 kcal/mol of atoms. The total energy is -22.965 eV for the cell shown.

It has space group C2/m (No. 12), with a = 15.479 Å, b = 6.757 Å, c = 7.186 Å, α = 90.00°, β = 110.68° and γ = 90.00°. Symmetry generates all atoms from Rb at (0.000, 0.000, 0.000), Hg at (0.033, 0.500, 0.218), Hg at (0.099, 0.229, 0.659), Hg at (0.225, 0.500, 0.013) and Bi at (0.234, 0.500, 0.485).